The following is a PBE calculation of crystalline BaCd4GaAu2 at its relaxed geometry, from the Alexandria database.

The structure in extended XYZ format:
```
8
Lattice="4.795 0.000 0.000 2.397 4.152 0.000 2.397 1.384 10.209" Properties=species:S:1:pos:R:3 pbc="T T T"
Cd 4.795 2.768 7.926
Cd 4.795 2.768 2.283
Cd 7.192 4.152 3.967
Cd 2.397 1.384 6.242
Au 2.397 1.384 2.393
Au 7.192 4.152 7.815
Ba 0.000 0.000 0.000
Ga 4.795 2.768 5.104
```

Properties
total DFT energy (no corrections) = -2.1249 eV per atom
space group = R-3m, No. 166
formation energy = -0.23 eV per atom